No. 1
Compound: Be4GaIr
Source: OQMD via LeMat-Bulk
Functional: PBE
Structure: optimized geometry

Summary:
Symmetry   No. 216
Crystal system   cubic

abc: 4.3454 4.3454 4.3454
angles: 60.00 60.00 60.00
Closest atoms and distances in Å follow each position.
Atoms (fractional coordinates):
Be  0.3747  0.3747  0.3747  6 Be 2.17-2.18
Be  0.8759  0.3747  0.3747  6 Be 2.17-2.18
Be  0.3747  0.8759  0.3747  6 Be 2.17-2.18
Be  0.3747  0.3747  0.8759  6 Be 2.17-2.18
Ga  0.7500  0.7500  0.7500  12 Be 2.55, 4 Ir 2.66
Ir  0.0000  0.0000  0.0000  12 Be 2.55, 4 Ga 2.66



No. 2
Compound: PmTh2As3
Source: OQMD via LeMat-Bulk
Functional: PBE
Structure: optimized geometry

Summary:
Symmetry   No. 71
Crystal system   orthorhombic

abc: 7.3605 7.3605 7.3605
angles: 146.48 131.84 59.95
Closest atoms and distances in Å follow each position.
Atoms (fractional coordinates):
As  0.5000  0.0000  0.5000  4 Th 3.00, 2 Pm 3.00
As  0.8328  0.3328  0.5000  4 Th 3.00-3.01, 2 Pm 3.01
As  0.1672  0.6672  0.5000  4 Th 3.00-3.01, 2 Pm 3.01
Pm  0.0000  0.0000  0.0000  6 As 3.00-3.01
Th  0.3341  0.3341  0.0000  6 As 3.00-3.01
Th  0.6659  0.6659  0.0000  6 As 3.00-3.01



Total energy / eV/atom: -4.89, -7.04
Magnetization / μB per cell: 0.000, 0.002
Calculated density / g cm⁻³: 8.5, 8.5